1.
# La3Nd4Bi4 (PBE, optimized geometry)
data_La3Nd4Bi4
_chemical_formula_sum 'La6 Nd8 Bi8'
_cell_length_a 4.302
_cell_length_b 9.560
_cell_length_c 18.385
_cell_angle_alpha 90.00
_cell_angle_beta 90.00
_cell_angle_gamma 90.00
_symmetry_space_group_name_H-M 'I m m m'
_symmetry_Int_Tables_number 71
_symmetry_space_group_name_Hall '-I 2 2'
loop_
_atom_site_label
_atom_site_fract_x
_atom_site_fract_y
_atom_site_fract_z
La1 0.000 0.000 0.000
La2 0.000 0.500 0.096
Nd1 0.000 0.322 0.330
Bi1 0.000 0.000 0.268
Bi2 0.000 0.216 0.500
# - volume (Å³/f.u.) = 378.03



2.
# La6NdBi (PBE, optimized geometry)
data_La6NdBi
_chemical_formula_sum 'La6 Nd1 Bi1'
_cell_length_a 5.112
_cell_length_b 5.112
_cell_length_c 10.578
_cell_angle_alpha 90.00
_cell_angle_beta 90.00
_cell_angle_gamma 90.00
_symmetry_space_group_name_H-M 'P 4/m m m'
_symmetry_Int_Tables_number 123
_symmetry_space_group_name_Hall '-P 4 2'
loop_
_atom_site_label
_atom_site_fract_x
_atom_site_fract_y
_atom_site_fract_z
La1 0.000 0.000 0.000
La2 0.000 0.000 0.500
La3 0.000 0.500 0.244
Nd1 0.500 0.500 0.500
Bi1 0.500 0.500 0.000
# - volume (Å³/f.u.) = 276.41



3.
# LaNd4Bi2 (PBE, optimized geometry)
data_LaNd4Bi2
_chemical_formula_sum 'La2 Nd8 Bi4'
_cell_length_a 5.471
_cell_length_b 5.471
_cell_length_c 17.039
_cell_angle_alpha 90.00
_cell_angle_beta 90.00
_cell_angle_gamma 90.00
_symmetry_space_group_name_H-M 'I 4/m m m'
_symmetry_Int_Tables_number 139
_symmetry_space_group_name_Hall '-I 4 2'
loop_
_atom_site_label
_atom_site_fract_x
_atom_site_fract_y
_atom_site_fract_z
La1 0.000 0.000 0.000
Nd1 0.000 0.000 0.180
Nd2 0.000 0.500 0.000
Bi1 0.000 0.000 0.366
# - volume (Å³/f.u.) = 255.04



no.,calculated density (g/cm3),ΔE_f (eV per formula unit)
1,8.0,-7.41
2,7.1,-1.75
3,7.4,1.02